(P)
Material: Tb3Pm2Dy6
Method: DFT, PBE
State: optimized geometry

```
Tb3Pm2Dy6
1.0
3.060 -5.309 0.000
3.060 5.309 0.000
-2.070 0.000 11.510
Tb Pm Dy
3 2 6
Direct
0.000 0.000 0.000 Tb
0.335 0.665 0.000 Tb
0.665 0.335 0.000 Tb
0.167 0.833 0.500 Pm
0.833 0.167 0.500 Pm
0.083 0.416 0.248 Dy
0.250 0.250 0.752 Dy
0.416 0.083 0.248 Dy
0.584 0.917 0.752 Dy
0.750 0.750 0.248 Dy
0.917 0.584 0.752 Dy
```

Calculated values
The volume comes out at 374.0 Å³ per cell. As for the space group: No. 12. For the total moment, the calculation gives 0.00 μB per cell.



(Q)
Material: Tb3Pm2Dy6
Method: DFT, PBE
State: optimized geometry

```
Tb3Pm2Dy6
1.0
-2.367 2.367 16.633
2.367 -2.367 16.633
2.367 2.367 -16.633
Tb Pm Dy
3 2 6
Direct
0.000 0.000 0.000 Tb
0.201 0.201 0.000 Tb
0.799 0.799 0.000 Tb
0.454 0.454 0.000 Pm
0.546 0.546 0.000 Pm
0.122 0.622 0.500 Dy
0.304 0.304 0.000 Dy
0.378 0.878 0.500 Dy
0.622 0.122 0.500 Dy
0.696 0.696 0.000 Dy
0.878 0.378 0.500 Dy
```

Calculated values
The volume comes out at 372.8 Å³ per cell. As for the space group: No. 139. For the total moment, the calculation gives 0.00 μB per cell.



We find (P) to be the most stable, with the next structure 86 meV per atom higher.



(P)
Material: Tb4Pm3Dy
Method: DFT, PBE
State: optimized geometry

```
Tb4Pm3Dy
1.0
11.786 -1.743 0.000
11.786 1.743 0.000
-1.947 0.000 6.497
Tb Pm Dy
4 3 1
Direct
0.125 0.125 0.383 Tb
0.259 0.259 0.265 Tb
0.741 0.741 0.735 Tb
0.875 0.875 0.617 Tb
0.000 0.000 0.000 Pm
0.126 0.126 0.869 Pm
0.874 0.874 0.131 Pm
0.500 0.500 0.500 Dy
```

Calculated values
The volume comes out at 266.9 Å³ per cell. As for the space group: No. 12. For the total moment, the calculation gives 0.00 μB per cell.



(Q)
Material: Tb4Pm3Dy
Method: DFT, PBE
State: optimized geometry

```
Tb4Pm3Dy
1.0
11.498 0.000 0.000
0.000 7.316 0.000
0.000 0.000 6.317
Tb Pm Dy
8 6 2
Direct
0.000 0.123 0.000 Tb
0.000 0.876 0.500 Tb
0.249 0.123 0.333 Tb
0.251 0.877 0.833 Tb
0.500 0.124 0.000 Tb
0.500 0.877 0.500 Tb
0.749 0.877 0.833 Tb
0.751 0.123 0.333 Tb
0.000 0.626 0.000 Pm
0.250 0.374 0.833 Pm
0.250 0.626 0.333 Pm
0.500 0.374 0.500 Pm
0.750 0.374 0.833 Pm
0.750 0.626 0.333 Pm
0.000 0.372 0.500 Dy
0.500 0.628 0.000 Dy
```

Calculated values
The volume comes out at 531.4 Å³ per cell. As for the space group: No. 31. For the total moment, the calculation gives 0.00 μB per cell.



We find (Q) to be the most stable, with the next structure 138 meV per atom higher.